(1)
SrAl4Ru: optimized geometry, PBE.

a b c (Å): 5.4031 5.4031 5.4031
angles (deg): 60.00 60.00 60.00
With the nearest neighbours (Å) after each atom.
Positions (direct):
Al 0.3757 0.8728 0.3757  6 Al 2.69-2.72
Ru 0.7500 0.7500 0.7500  12 Al 3.17, 4 Sr 3.31
Al 0.3757 0.3757 0.3757  6 Al 2.69-2.72
Al 0.3757 0.3757 0.8728  6 Al 2.69-2.72
Sr 0.0000 0.0000 0.0000  12 Al 3.17, 4 Ru 3.31
Al 0.8728 0.3757 0.3757  6 Al 2.69-2.72

Results
The value obtained for the density of states at the Fermi level is 4.03 states/eV/cell. As for the electronic total energy: -25.6 eV per cell. The magnetization comes out at 0.50 μB per cell. The formation energy is 0.345 eV per formula unit.

---

(2)
MgCuCl: optimized geometry, PBE.

a b c (Å): 3.3316 3.3322 14.1881
angles (deg): 90.00 90.00 119.99
With the nearest neighbours (Å) after each atom.
Positions (direct):
Cu 0.6737 0.3474 0.6296  3 Mg 2.66
Mg 0.5485 0.0970 0.0000  6 Cl 2.49
Mg 0.3404 0.6807 0.5000  6 Cu 2.66
Cl 0.2152 0.4303 0.8889  3 Mg 2.49
Cl 0.2152 0.4303 0.1111  3 Mg 2.49
Cu 0.6737 0.3474 0.3704  3 Mg 2.66

Results
The value obtained for the density of states at the Fermi level is 0.34 states/eV/cell. As for the energy relative to the elements, uncorrected: -0.4372 eV/atom. As for the electronic total energy: -17.7 eV per cell. The calculation puts the polymorph energy (0 for the lowest one) at 36 meV per atom. The magnetization comes out at 0.00 μB per cell.

---

(3)
Ba2PuAs3Pt4: optimized geometry, PBE.

a b c (Å): 4.4865 4.4865 11.3672
angles (deg): 90.00 90.00 90.00
With the nearest neighbours (Å) after each atom.
Positions (direct):
As 0.5000 0.0000 0.8848  5 Pt 2.57-2.60
Ba 0.5000 0.0000 0.2317  8 Pt 3.41-3.46, 6 As 3.44-3.79, 2 Pu 3.79
As 0.0000 0.5000 0.1152  5 Pt 2.57-2.60
Pu 0.5000 0.5000 0.5000  4 Pt 2.88, 4 As 3.17
Ba 0.0000 0.5000 0.7683  8 Pt 3.41-3.46, 6 As 3.44-3.79, 2 Pu 3.79
Pt 0.5000 0.5000 0.0000  4 As 2.60
As 0.0000 0.0000 0.5000  4 Pt 2.88, 4 Pu 3.17
Pt 0.5000 0.0000 0.6586  3 As 2.57-2.88, 2 Pu 2.88
Pt 0.0000 0.0000 0.0000  4 As 2.60
Pt 0.0000 0.5000 0.3414  3 As 2.57-2.88, 2 Pu 2.88

Results
The value obtained for the density of states at the Fermi level is 13.26 states/eV/cell. As for the electronic total energy: -63.7 eV per cell. The magnetization comes out at 5.52 μB per cell. The formation energy is -7.365 eV per formula unit.

---

(4)
KRbBa: optimized geometry, PBE.

a b c (Å): 4.6260 4.6260 11.9449
angles (deg): 90.00 90.00 120.00
With the nearest neighbours (Å) after each atom.
Positions (direct):
Rb 0.3333 0.6667 0.6711  6 Rb 4.63, 3 Ba 4.81, 3 K 4.94
K 0.6667 0.3333 0.3234  6 K 4.63, 3 Ba 4.64, 3 Rb 4.94
Ba 0.0000 0.0000 0.0055  6 Ba 4.63, 3 K 4.64, 3 Rb 4.81

Results
The value obtained for the density of states at the Fermi level is 3.76 states/eV/cell. As for the electronic total energy: -3.8 eV per cell. The calculation puts the polymorph energy (0 for the lowest one) at 0 meV per atom. The magnetization comes out at 0.00 μB per cell. The formation energy is 0.220 eV per formula unit.

---

(5)
LuBeAu2: optimized geometry, PBE.

a b c (Å): 4.2910 4.2910 5.2601
angles (deg): 65.93 65.93 60.00
With the nearest neighbours (Å) after each atom.
Positions (direct):
Be 0.5000 0.5000 0.5000  6 Au 2.58
Au 0.7817 0.7817 0.6549  3 Be 2.58, 3 Au 2.86
Au 0.2183 0.2183 0.3451  3 Be 2.58, 3 Au 2.86
Lu 0.0000 0.0000 0.0000  8 Au 2.95-3.04

Results
The value obtained for the density of states at the Fermi level is 2.29 states/eV/cell. As for the electronic total energy: -16.7 eV per cell. The magnetization comes out at 0.00 μB per cell. The formation energy is -1.911 eV per formula unit.

---

(6)
CeB2Ir2Rh: optimized geometry, PBE.

a b c (Å): 5.5227 5.5227 3.1110
angles (deg): 90.00 90.00 120.00
With the nearest neighbours (Å) after each atom.
Positions (direct):
Ir 0.0000 0.5000 0.5000  4 B 2.23
B 0.1667 0.8333 0.0000  4 Ir 2.23, 2 Rh 2.23
Ce 0.5000 0.5000 0.0000  2 Ce 3.11, 8 Ir 3.17, 4 Rh 3.17, 6 B 3.19
B 0.8333 0.1667 0.0000  4 Ir 2.23, 2 Rh 2.23
Rh 0.0000 0.0000 0.5000  4 B 2.23
Ir 0.5000 0.0000 0.5000  4 B 2.23

Results
The value obtained for the density of states at the Fermi level is 4.48 states/eV/cell. As for the electronic total energy: -48.4 eV per cell. The magnetization comes out at 0.63 μB per cell. The formation energy is -4.045 eV per formula unit.

---

(7)
TbAl2PtAu2: optimized geometry, PBE.

a b c (Å): 4.7426 4.7426 5.6587
angles (deg): 90.00 90.00 90.00
With the nearest neighbours (Å) after each atom.
Positions (direct):
Au 0.5000 0.5000 0.2625  2 Au 2.69-2.97, 4 Al 2.80
Al 0.5000 0.0000 0.0000  2 Pt 2.37
Au 0.5000 0.5000 0.7375  2 Au 2.69-2.97, 4 Al 2.80
Pt 0.0000 0.0000 0.0000  4 Al 2.37
Al 0.0000 0.5000 0.0000  2 Pt 2.37
Tb 0.0000 0.0000 0.5000  2 Pt 2.83

Results
The value obtained for the density of states at the Fermi level is 2.89 states/eV/cell. As for the electronic total energy: -28.1 eV per cell. The magnetization comes out at 0.00 μB per cell. The formation energy is -3.369 eV per formula unit.

---

(8)
YMg2Cu2: optimized geometry, PBE.

a b c (Å): 4.6469 4.6469 9.5415
angles (deg): 90.00 90.00 91.73
With the nearest neighbours (Å) after each atom.
Positions (direct):
Mg 0.6855 0.6855 0.3977  4 Cu 2.59, 1 Mg 2.82
Cu 0.1889 0.8111 0.5000  1 Cu 2.52, 4 Mg 2.59
Mg 0.6855 0.6855 0.1023  4 Cu 2.59, 1 Mg 2.82
Y 0.2047 0.2047 0.2500  4 Cu 3.01
Cu 0.8111 0.1889 0.0000  1 Cu 2.52, 4 Mg 2.59
Cu 0.8111 0.1889 0.5000  1 Cu 2.52, 4 Mg 2.59
Mg 0.3145 0.3145 0.8977  4 Cu 2.59, 1 Mg 2.82
Y 0.7953 0.7953 0.7500  4 Cu 3.01
Cu 0.1889 0.8111 0.0000  1 Cu 2.52, 4 Mg 2.59
Mg 0.3145 0.3145 0.6023  4 Cu 2.59, 1 Mg 2.82

Results
The value obtained for the density of states at the Fermi level is 6.26 states/eV/cell. As for the electronic total energy: -36.0 eV per cell. The calculation puts the polymorph energy (0 for the lowest one) at 121 meV per atom. The magnetization comes out at 0.00 μB per cell. The formation energy is -0.159 eV per formula unit.

---

(9)
CeThS2: optimized geometry, PBE.

a b c (Å): 4.0159 4.0159 7.0273
angles (deg): 73.40 73.40 60.00
With the nearest neighbours (Å) after each atom.
Positions (direct):
S 0.7490 0.7490 0.7530  3 Ce 2.84, 3 Th 2.86
S 0.2510 0.2510 0.2470  3 Ce 2.84, 3 Th 2.86
Ce 0.0000 0.0000 0.0000  6 S 2.84
Th 0.5000 0.5000 0.5000  6 S 2.86

Results
The value obtained for the density of states at the Fermi level is 5.72 states/eV/cell. As for the energy relative to the elements, uncorrected: -1.9513 eV/atom. As for the electronic total energy: -29.4 eV per cell. The calculation puts the polymorph energy (0 for the lowest one) at 4 meV per atom. The magnetization comes out at 0.60 μB per cell.

---

(10)
MgPa2Si3Ir4: optimized geometry, PBE.

a b c (Å): 4.0450 4.0450 10.5798
angles (deg): 90.00 90.00 90.00
With the nearest neighbours (Å) after each atom.
Positions (direct):
Si 0.0000 0.5000 0.1254  5 Ir 2.35-2.42
Si 0.5000 0.0000 0.8746  5 Ir 2.35-2.42
Pa 0.5000 0.0000 0.2447  8 Ir 3.06-3.29, 6 Si 3.13-3.37, 2 Mg 3.37
Ir 0.5000 0.0000 0.6522  3 Si 2.35-2.59, 2 Mg 2.59
Ir 0.5000 0.5000 0.0000  4 Si 2.42
Ir 0.0000 0.5000 0.3478  3 Si 2.35-2.59, 2 Mg 2.59
Si 0.0000 0.0000 0.5000  4 Ir 2.59, 4 Mg 2.86
Ir 0.0000 0.0000 0.0000  4 Si 2.42
Pa 0.0000 0.5000 0.7553  8 Ir 3.06-3.29, 6 Si 3.13-3.37, 2 Mg 3.37
Mg 0.5000 0.5000 0.5000  4 Ir 2.59, 4 Si 2.86

Results
The value obtained for the density of states at the Fermi level is 9.44 states/eV/cell. As for the energy relative to the elements, uncorrected: -0.8759 eV/atom. As for the electronic total energy: -81.1 eV per cell. The magnetization comes out at 0.00 μB per cell.

---

(11)
MnRe2Ni: optimized geometry, PBE.

a b c (Å): 3.7322 3.7321 3.7507
angles (deg): 90.00 90.00 90.00
With the nearest neighbours (Å) after each atom.
Positions (direct):
Re 0.5000 0.5000 0.0000  4 Re 2.64, 4 Mn 2.65, 4 Ni 2.65
Mn 0.5000 0.0000 0.5000  4 Ni 2.64, 8 Re 2.65
Ni 0.0000 0.5000 0.5000  4 Mn 2.64, 8 Re 2.65
Re 0.0000 0.0000 0.0000  4 Re 2.64, 4 Ni 2.65, 4 Mn 2.65

Results
The value obtained for the density of states at the Fermi level is 4.27 states/eV/cell. As for the electronic total energy: -39.7 eV per cell. The calculation puts the polymorph energy (0 for the lowest one) at 15 meV per atom. The magnetization comes out at 1.10 μB per cell. The formation energy is 0.129 eV per formula unit.

---

(12)
BeMoBr2: optimized geometry, PBE.

a b c (Å): 8.1716 8.1716 8.1716
angles (deg): 22.76 22.76 22.76
With the nearest neighbours (Å) after each atom.
Positions (direct):
Br 0.8932 0.8932 0.8932  3 Be 2.35, 1 Mo 2.55
Br 0.1068 0.1068 0.1068  3 Be 2.35, 1 Mo 2.55
Be 0.5000 0.5000 0.5000  6 Br 2.35
Mo 0.0000 0.0000 0.0000  2 Br 2.55

Results
The value obtained for the density of states at the Fermi level is 3.35 states/eV/cell. As for the energy relative to the elements, uncorrected: 0.5095 eV/atom. As for the electronic total energy: -15.9 eV per cell. The calculation puts the polymorph energy (0 for the lowest one) at 481 meV per atom. The magnetization comes out at 0.00 μB per cell.

---

(13)
CeYCo: optimized geometry, PBE.

a b c (Å): 4.8734 4.1365 4.1365
angles (deg): 120.00 90.00 90.00
With the nearest neighbours (Å) after each atom.
Positions (direct):
Ce 0.1668 0.3333 0.6667  3 Co 2.39
Co 0.1664 0.0000 0.0000  3 Ce 2.39
Y 0.6668 0.6667 0.3333  6 Co 3.41, 6 Ce 3.41

Results
The value obtained for the density of states at the Fermi level is 5.83 states/eV/cell. As for the electronic total energy: -19.4 eV per cell. The calculation puts the polymorph energy (0 for the lowest one) at 221 meV per atom. The magnetization comes out at 0.00 μB per cell. The formation energy is 0.136 eV per formula unit.